Entry 1:
Computed, not measured: a geometry-optimized SrFe2Os structure at the GGA-PBEsol level of DFT.

Cell: 6.3551 6.3551 6.3551 Å, 90.00 90.00 90.00°
With the nearest neighbours (Å) after each atom.
Atoms (fractional coordinates):
Sr 0.0000 0.0000 0.0000  8 Fe 2.75
Sr 0.0000 0.5000 0.5000  8 Fe 2.75
Sr 0.5000 0.0000 0.5000  8 Fe 2.75
Sr 0.5000 0.5000 0.0000  8 Fe 2.75
Fe 0.2500 0.2500 0.2500  4 Os 2.75, 4 Sr 2.75
Fe 0.2500 0.2500 0.7500  4 Os 2.75, 4 Sr 2.75
Fe 0.2500 0.7500 0.2500  4 Os 2.75, 4 Sr 2.75
Fe 0.2500 0.7500 0.7500  4 Os 2.75, 4 Sr 2.75
Fe 0.7500 0.2500 0.2500  4 Os 2.75, 4 Sr 2.75
Fe 0.7500 0.2500 0.7500  4 Os 2.75, 4 Sr 2.75
Fe 0.7500 0.7500 0.2500  4 Os 2.75, 4 Sr 2.75
Fe 0.7500 0.7500 0.7500  4 Os 2.75, 4 Sr 2.75
Os 0.0000 0.0000 0.5000  8 Fe 2.75
Os 0.0000 0.5000 0.0000  8 Fe 2.75
Os 0.5000 0.0000 0.0000  8 Fe 2.75
Os 0.5000 0.5000 0.5000  8 Fe 2.75

Properties
For the energy above the most stable polymorph in this dataset, the calculation gives 0.367 eV per atom.

---

Entry 2:
Computed, not measured: a geometry-optimized SrFe2Os structure at the GGA-PBEsol level of DFT.

Cell: 4.7116 4.7116 2.7604 Å, 90.00 90.00 90.00°
With the nearest neighbours (Å) after each atom.
Atoms (fractional coordinates):
Sr 0.0000 0.0000 0.0000  8 Fe 2.73, 2 Sr 2.76
Fe 0.0000 0.5000 0.5000  4 Os 2.73, 4 Sr 2.73, 2 Fe 2.76
Fe 0.5000 0.0000 0.5000  4 Os 2.73, 4 Sr 2.73, 2 Fe 2.76
Os 0.5000 0.5000 0.0000  8 Fe 2.73, 2 Os 2.76

Properties
For the energy above the most stable polymorph in this dataset, the calculation gives 0.308 eV per atom.

---

Entry 3:
Computed, not measured: a geometry-optimized SrFeOs2 structure at the GGA-PBEsol level of DFT.

Cell: 2.8319 2.8319 8.4445 Å, 90.00 90.00 90.00°
With the nearest neighbours (Å) after each atom.
Atoms (fractional coordinates):
Sr 0.0000 0.0000 0.0000  4 Sr 2.83
Fe 0.5000 0.5000 0.3031  4 Os 2.64, 4 Fe 2.83
Os 0.0000 0.0000 0.5066  8 Os 2.60-2.83, 4 Fe 2.64
Os 0.5000 0.5000 0.7033  8 Os 2.60-2.83

Properties
The calculation puts the total energy at -32.6 eV/f.u.

---

no.,Fermi-level density of states (states/eV/f.u.)
1,6.2
2,3.8
3,4.0